Below is a relaxed structure of TlCoHgP2, with properties calculated at the GGA-PBE level.

```
TlCoHgP2
1.0
5.049 0.000 0.000
0.000 5.049 0.000
0.000 0.000 4.990
Tl Co Hg P
1 1 1 2
direct
0.000 0.000 0.000 Tl
0.500 0.500 0.000 Co
0.500 0.500 0.500 Hg
0.000 0.500 0.500 P
0.500 0.000 0.500 P
```

Values from the calculation:
**Formation energy**: 1.216 eV/atom
**Volume**: 127.21 Å³/cell
**Total energy**: -2.902 eV/atom